[1]
A geometry-optimized YReTc structure, computed with GGA-PBE.

Geometry as POSCAR:
```
YReTc
1.0
-0.415 0.371 4.464
-0.267 -3.697 2.549
3.430 -1.137 2.680
Re Tc Y
1 1 1
direct
0.000 0.000 0.000
0.500 0.500 0.500
0.750 0.750 0.750
```

## Properties
Fermi-level density of states: 5.69 states/eV per cell
ΔE_f: 1.8183 eV/atom
crystal system: cubic
space group: F-43m (216)
density: 9.63 g/cm³

=====

[2]
A geometry-optimized HfMg structure, computed with GGA-PBE.

Geometry as POSCAR:
```
HfMg
1.0
7.941 0.000 0.000
0.000 8.429 0.000
0.000 0.000 10.938
Hf Mg
16 16
direct
0.000 0.669 0.000
0.000 0.331 0.000
0.250 0.081 0.250
0.250 0.419 0.250
0.000 0.169 0.500
0.000 0.831 0.500
0.250 0.581 0.750
0.250 0.919 0.750
0.500 0.669 0.500
0.500 0.331 0.500
0.750 0.081 0.750
0.750 0.419 0.750
0.500 0.169 0.000
0.500 0.831 0.000
0.750 0.581 0.250
0.750 0.919 0.250
0.169 0.000 0.000
0.831 0.000 0.000
0.081 0.750 0.250
0.419 0.750 0.250
0.169 0.500 0.500
0.831 0.500 0.500
0.081 0.250 0.750
0.419 0.250 0.750
0.669 0.000 0.500
0.331 0.000 0.500
0.581 0.750 0.750
0.919 0.750 0.750
0.669 0.500 0.000
0.331 0.500 0.000
0.581 0.250 0.250
0.919 0.250 0.250
```

## Properties
Fermi-level density of states: 27.07 states/eV per cell
ΔE_f: 0.5421 eV/atom
crystal system: orthorhombic
space group: Fddd (70)
density: 7.36 g/cm³

=====

[3]
A geometry-optimized TaHgIr structure, computed with GGA-PBE.

Geometry as POSCAR:
```
TaHgIr
1.0
-1.368 -1.786 5.922
-1.370 -4.381 4.366
2.693 -0.711 1.180
Hg Ir Ta
1 1 1
direct
0.999 0.999 0.001
0.316 0.316 0.684
0.686 0.686 0.314
```

## Properties
Fermi-level density of states: 2.10 states/eV per cell
ΔE_f: -0.0059 eV/atom
crystal system: tetragonal
space group: I4mm (107)
density: 17.46 g/cm³

=====

Number 1: magnetization 1.7 μB per formula unit. Number 2: magnetization 0.0 μB per formula unit. Number 3: magnetization 0.0 μB per formula unit.